A relaxed structure of HoSnHgRh. Source: the Alexandria database, functional PBE.

a b c (Å): 4.925 4.925 4.925
angles (deg): 60.00 60.00 60.00
Atoms (fractional coordinates):
Rh: 0.250 0.250 0.250
Hg: 0.750 0.750 0.750
Sn: 0.500 0.500 0.500
Ho: 0.000 0.000 0.000

formation enthalpy at 0 K	-1.71	eV/f.u.
total magnetization	0.000	μB per atom
symmetry	F-43m